# HgGe3B (meta-GGA SCAN, PBEsol geometry)
data_HgGe3B
_space_group_name_H-M_alt 'P 1'
_space_group_IT_number 1
_cell_length_a 5.092
_cell_length_b 5.092
_cell_length_c 5.092
_cell_angle_alpha 90.00
_cell_angle_beta 90.00
_cell_angle_gamma 90.00
loop_
_space_group_symop_operation_xyz
'x,y,z'
loop_
_atom_site_label
_atom_site_type_symbol
_atom_site_fract_x
_atom_site_fract_y
_atom_site_fract_z
Ge1 Ge 0.000 0.500 0.000
Ge2 Ge 0.000 0.000 0.500
Ge3 Ge 0.500 0.000 0.000
B1 B 0.500 0.500 0.500
Hg1 Hg 0.000 0.000 0.000
# ΔE_f ... 42.9 kcal/mol of atoms

***

# HgGeB3 (meta-GGA SCAN, PBEsol geometry)
data_HgGeB3
_space_group_name_H-M_alt 'P 1'
_space_group_IT_number 1
_cell_length_a 4.173
_cell_length_b 4.173
_cell_length_c 4.173
_cell_angle_alpha 90.00
_cell_angle_beta 90.00
_cell_angle_gamma 90.00
loop_
_space_group_symop_operation_xyz
'x,y,z'
loop_
_atom_site_label
_atom_site_type_symbol
_atom_site_fract_x
_atom_site_fract_y
_atom_site_fract_z
Ge1 Ge 0.000 0.000 0.000
B1 B 0.000 0.500 0.000
B2 B 0.000 0.000 0.500
B3 B 0.500 0.000 0.000
Hg1 Hg 0.500 0.500 0.500
# ΔE_f ... 43.9 kcal/mol of atoms

***

# LiHgGeB2 (meta-GGA SCAN, PBEsol geometry)
data_LiHgGeB2
_space_group_name_H-M_alt 'P 1'
_space_group_IT_number 1
_cell_length_a 4.147
_cell_length_b 4.147
_cell_length_c 5.811
_cell_angle_alpha 90.00
_cell_angle_beta 90.00
_cell_angle_gamma 90.00
loop_
_space_group_symop_operation_xyz
'x,y,z'
loop_
_atom_site_label
_atom_site_type_symbol
_atom_site_fract_x
_atom_site_fract_y
_atom_site_fract_z
Ge1 Ge 0.000 0.000 0.500
B1 B 0.000 0.500 0.000
B2 B 0.500 0.000 0.000
Hg1 Hg 0.000 0.000 0.000
Li1 Li 0.500 0.500 0.500
# ΔE_f ... 34.6 kcal/mol of atoms

***

# HgGeBP2 (meta-GGA SCAN, PBEsol geometry)
data_HgGeBP2
_space_group_name_H-M_alt 'P 1'
_space_group_IT_number 1
_cell_length_a 4.011
_cell_length_b 5.112
_cell_length_c 5.112
_cell_angle_alpha 90.00
_cell_angle_beta 90.00
_cell_angle_gamma 90.00
loop_
_space_group_symop_operation_xyz
'x,y,z'
loop_
_atom_site_label
_atom_site_type_symbol
_atom_site_fract_x
_atom_site_fract_y
_atom_site_fract_z
P1 P 0.000 0.000 0.500
P2 P 0.000 0.500 0.000
Ge1 Ge 0.500 0.500 0.500
B1 B 0.500 0.000 0.000
Hg1 Hg 0.000 0.000 0.000
# ΔE_f ... 36.5 kcal/mol of atoms

***

# GeBI2 (meta-GGA SCAN, PBEsol geometry)
data_GeBI2
_space_group_name_H-M_alt 'P 1'
_space_group_IT_number 1
_cell_length_a 6.402
_cell_length_b 6.402
_cell_length_c 6.402
_cell_angle_alpha 108.54
_cell_angle_beta 108.54
_cell_angle_gamma 111.36
loop_
_space_group_symop_operation_xyz
'x,y,z'
loop_
_atom_site_label
_atom_site_type_symbol
_atom_site_fract_x
_atom_site_fract_y
_atom_site_fract_z
I1 I 0.838 0.875 0.463
I2 I 0.412 0.375 0.537
I3 I 0.625 0.162 0.037
I4 I 0.125 0.588 0.963
Ge1 Ge 0.250 0.750 0.500
Ge2 Ge 0.000 0.000 0.000
B1 B 0.750 0.250 0.500
B2 B 0.500 0.500 0.000
# Formation energy (no corrections) ... 1.17 eV/atom

***

# GeBTe2I (meta-GGA SCAN, PBEsol geometry)
data_GeBTe2I
_space_group_name_H-M_alt 'P 1'
_space_group_IT_number 1
_cell_length_a 5.323
_cell_length_b 5.323
_cell_length_c 5.581
_cell_angle_alpha 90.00
_cell_angle_beta 90.00
_cell_angle_gamma 90.00
loop_
_space_group_symop_operation_xyz
'x,y,z'
loop_
_atom_site_label
_atom_site_type_symbol
_atom_site_fract_x
_atom_site_fract_y
_atom_site_fract_z
I1 I 0.000 0.000 0.500
Ge1 Ge 0.000 0.000 0.000
Te1 Te 0.000 0.500 0.000
Te2 Te 0.500 0.000 0.000
B1 B 0.500 0.500 0.500
# Formation energy (no corrections) ... 1.30 eV/atom

***

# InGe3B (meta-GGA SCAN, PBEsol geometry)
data_InGe3B
_space_group_name_H-M_alt 'P 1'
_space_group_IT_number 1
_cell_length_a 4.446
_cell_length_b 4.446
_cell_length_c 4.446
_cell_angle_alpha 90.00
_cell_angle_beta 90.00
_cell_angle_gamma 90.00
loop_
_space_group_symop_operation_xyz
'x,y,z'
loop_
_atom_site_label
_atom_site_type_symbol
_atom_site_fract_x
_atom_site_fract_y
_atom_site_fract_z
Ge1 Ge 0.000 0.500 0.000
Ge2 Ge 0.000 0.000 0.500
Ge3 Ge 0.500 0.000 0.000
B1 B 0.000 0.000 0.000
In1 In 0.500 0.500 0.500
# ΔE_f ... 15.8 kcal/mol of atoms

***

# InGe2BN (meta-GGA SCAN, PBEsol geometry)
data_InGe2BN
_space_group_name_H-M_alt 'P 1'
_space_group_IT_number 1
_cell_length_a 3.895
_cell_length_b 5.273
_cell_length_c 5.273
_cell_angle_alpha 90.00
_cell_angle_beta 90.00
_cell_angle_gamma 90.00
loop_
_space_group_symop_operation_xyz
'x,y,z'
loop_
_atom_site_label
_atom_site_type_symbol
_atom_site_fract_x
_atom_site_fract_y
_atom_site_fract_z
Ge1 Ge 0.000 0.000 0.500
Ge2 Ge 0.000 0.500 0.000
N1 N 0.500 0.000 0.000
B1 B 0.500 0.500 0.500
In1 In 0.000 0.000 0.000
# Formation energy (no corrections) ... 2.12 eV/atom

***

# KGe2BO6 (meta-GGA SCAN, PBEsol geometry)
data_KGe2BO6
_space_group_name_H-M_alt 'P 1'
_space_group_IT_number 1
_cell_length_a 4.806
_cell_length_b 10.190
_cell_length_c 10.750
_cell_angle_alpha 90.00
_cell_angle_beta 90.00
_cell_angle_gamma 90.00
loop_
_space_group_symop_operation_xyz
'x,y,z'
loop_
_atom_site_label
_atom_site_type_symbol
_atom_site_fract_x
_atom_site_fract_y
_atom_site_fract_z
K1 K 0.309 0.529 0.187
K2 K 0.191 0.471 0.687
K3 K 0.691 0.029 0.313
K4 K 0.809 0.971 0.813
Ge1 Ge 0.731 0.301 0.919
Ge2 Ge 0.231 0.199 0.081
Ge3 Ge 0.769 0.699 0.419
Ge4 Ge 0.800 0.615 0.934
Ge5 Ge 0.269 0.801 0.581
Ge6 Ge 0.700 0.385 0.434
Ge7 Ge 0.300 0.885 0.066
Ge8 Ge 0.200 0.115 0.566
B1 B 0.194 0.266 0.342
B2 B 0.306 0.734 0.842
B3 B 0.694 0.234 0.658
B4 B 0.806 0.766 0.158
O1 O 0.074 0.254 0.216
O2 O 0.527 0.821 0.465
O3 O 0.360 0.861 0.907
O4 O 0.003 0.710 0.833
O5 O 0.942 0.878 0.096
O6 O 0.640 0.361 0.593
O7 O 0.997 0.210 0.667
O8 O 0.926 0.754 0.284
O9 O 0.426 0.746 0.716
O10 O 0.558 0.122 0.596
O11 O 0.027 0.679 0.535
O12 O 0.503 0.790 0.167
O13 O 0.091 0.950 0.594
O14 O 0.442 0.622 0.904
O15 O 0.058 0.378 0.404
O16 O 0.140 0.139 0.407
O17 O 0.497 0.290 0.333
O18 O 0.973 0.179 0.965
O19 O 0.909 0.450 0.906
O20 O 0.860 0.639 0.093
O21 O 0.409 0.050 0.094
O22 O 0.591 0.550 0.406
O23 O 0.574 0.246 0.784
O24 O 0.473 0.321 0.035
# Formation energy (no corrections) ... -2.11 eV/atom

***

# K2Ge3B2O10 (meta-GGA SCAN, PBEsol geometry)
data_K2Ge3B2O10
_space_group_name_H-M_alt 'P 1'
_space_group_IT_number 1
_cell_length_a 6.159
_cell_length_b 8.515
_cell_length_c 9.452
_cell_angle_alpha 82.64
_cell_angle_beta 70.98
_cell_angle_gamma 68.80
loop_
_space_group_symop_operation_xyz
'x,y,z'
loop_
_atom_site_label
_atom_site_type_symbol
_atom_site_fract_x
_atom_site_fract_y
_atom_site_fract_z
K1 K 0.315 0.590 0.885
K2 K 0.657 0.911 0.387
K3 K 0.791 0.410 0.115
K4 K 0.954 0.089 0.613
Ge1 Ge 0.897 0.000 0.000
Ge2 Ge 0.280 0.907 0.175
Ge3 Ge 0.945 0.563 0.684
Ge4 Ge 0.641 0.500 0.500
Ge5 Ge 0.193 0.437 0.316
Ge6 Ge 0.363 0.093 0.825
B1 B 0.219 0.717 0.442
B2 B 0.404 0.206 0.077
B3 B 0.378 0.283 0.558
B4 B 0.687 0.794 0.923
O1 O 0.874 0.528 0.340
O2 O 0.231 0.410 0.677
O3 O 0.217 0.126 0.146
O4 O 0.873 0.879 0.874
O5 O 0.317 0.590 0.323
O6 O 0.444 0.115 0.629
O7 O 0.489 0.874 0.854
O8 O 0.742 0.472 0.660
O9 O 0.039 0.140 0.887
O10 O 0.976 0.722 0.547
O11 O 0.626 0.121 0.126
O12 O 0.395 0.689 0.527
O13 O 0.307 0.382 0.127
O14 O 0.465 0.212 0.911
O15 O 0.587 0.788 0.089
O16 O 0.611 0.311 0.473
O17 O 0.245 0.278 0.453
O18 O 0.816 0.618 0.873
O19 O 0.188 0.885 0.371
O20 O 0.067 0.860 0.113
# Formation energy (no corrections) ... -2.17 eV/atom

***

# KGeBPd2 (meta-GGA SCAN, PBEsol geometry)
data_KGeBPd2
_space_group_name_H-M_alt 'P 1'
_space_group_IT_number 1
_cell_length_a 3.888
_cell_length_b 4.872
_cell_length_c 4.872
_cell_angle_alpha 90.00
_cell_angle_beta 90.00
_cell_angle_gamma 90.00
loop_
_space_group_symop_operation_xyz
'x,y,z'
loop_
_atom_site_label
_atom_site_type_symbol
_atom_site_fract_x
_atom_site_fract_y
_atom_site_fract_z
Ge1 Ge 0.000 0.000 0.000
B1 B 0.500 0.000 0.000
K1 K 0.500 0.500 0.500
Pd1 Pd 0.000 0.000 0.500
Pd2 Pd 0.000 0.500 0.000
# ΔE_f ... 10.4 kcal/mol of atoms

***

# Rb2LaGeB (meta-GGA SCAN, PBEsol geometry)
data_Rb2LaGeB
_space_group_name_H-M_alt 'P 1'
_space_group_IT_number 1
_cell_length_a 4.966
_cell_length_b 5.976
_cell_length_c 5.976
_cell_angle_alpha 90.00
_cell_angle_beta 90.00
_cell_angle_gamma 90.00
loop_
_space_group_symop_operation_xyz
'x,y,z'
loop_
_atom_site_label
_atom_site_type_symbol
_atom_site_fract_x
_atom_site_fract_y
_atom_site_fract_z
Ge1 Ge 0.500 0.500 0.500
B1 B 0.000 0.000 0.000
Rb1 Rb 0.000 0.000 0.500
Rb2 Rb 0.000 0.500 0.000
La1 La 0.500 0.000 0.000
# ΔE_f ... 18.3 kcal/mol of atoms

***

# MnGeBSb2 (meta-GGA SCAN, PBEsol geometry)
data_MnGeBSb2
_space_group_name_H-M_alt 'P 1'
_space_group_IT_number 1
_cell_length_a 4.010
_cell_length_b 4.873
_cell_length_c 4.873
_cell_angle_alpha 90.00
_cell_angle_beta 90.00
_cell_angle_gamma 90.00
loop_
_space_group_symop_operation_xyz
'x,y,z'
loop_
_atom_site_label
_atom_site_type_symbol
_atom_site_fract_x
_atom_site_fract_y
_atom_site_fract_z
Sb1 Sb 0.000 0.000 0.500
Sb2 Sb 0.000 0.500 0.000
Ge1 Ge 0.500 0.500 0.500
Mn1 Mn 0.500 0.000 0.000
B1 B 0.000 0.000 0.000
# Formation energy (no corrections) ... 0.57 eV/atom

***

# MnGe2BSe (meta-GGA SCAN, PBEsol geometry)
data_MnGe2BSe
_space_group_name_H-M_alt 'P 1'
_space_group_IT_number 1
_cell_length_a 4.313
_cell_length_b 4.310
_cell_length_c 4.310
_cell_angle_alpha 90.00
_cell_angle_beta 90.00
_cell_angle_gamma 90.00
loop_
_space_group_symop_operation_xyz
'x,y,z'
loop_
_atom_site_label
_atom_site_type_symbol
_atom_site_fract_x
_atom_site_fract_y
_atom_site_fract_z
Ge1 Ge 0.000 0.000 0.500
Ge2 Ge 0.000 0.500 0.000
Mn1 Mn 0.500 0.000 0.000
B1 B 0.000 0.000 0.000
Se1 Se 0.500 0.500 0.500
# Formation energy (no corrections) ... 0.42 eV/atom

***

# GeB3Mo (meta-GGA SCAN, PBEsol geometry)
data_GeB3Mo
_space_group_name_H-M_alt 'P 1'
_space_group_IT_number 1
_cell_length_a 3.947
_cell_length_b 3.947
_cell_length_c 3.947
_cell_angle_alpha 90.00
_cell_angle_beta 90.00
_cell_angle_gamma 90.00
loop_
_space_group_symop_operation_xyz
'x,y,z'
loop_
_atom_site_label
_atom_site_type_symbol
_atom_site_fract_x
_atom_site_fract_y
_atom_site_fract_z
Mo1 Mo 0.500 0.500 0.500
B1 B 0.000 0.500 0.000
B2 B 0.000 0.000 0.500
B3 B 0.500 0.000 0.000
Ge1 Ge 0.000 0.000 0.000
# ΔE_f ... 49.7 kcal/mol of atoms

***

# GeBMo3 (meta-GGA SCAN, PBEsol geometry)
data_GeBMo3
_space_group_name_H-M_alt 'P 1'
_space_group_IT_number 1
_cell_length_a 4.496
_cell_length_b 4.496
_cell_length_c 4.496
_cell_angle_alpha 90.00
_cell_angle_beta 90.00
_cell_angle_gamma 90.00
loop_
_space_group_symop_operation_xyz
'x,y,z'
loop_
_atom_site_label
_atom_site_type_symbol
_atom_site_fract_x
_atom_site_fract_y
_atom_site_fract_z
Mo1 Mo 0.000 0.500 0.000
Mo2 Mo 0.000 0.000 0.500
Mo3 Mo 0.500 0.000 0.000
B1 B 0.500 0.500 0.500
Ge1 Ge 0.000 0.000 0.000
# ΔE_f ... 51.6 kcal/mol of atoms

***

# Ge3BMo (meta-GGA SCAN, PBEsol geometry)
data_Ge3BMo
_space_group_name_H-M_alt 'P 1'
_space_group_IT_number 1
_cell_length_a 4.802
_cell_length_b 4.802
_cell_length_c 4.802
_cell_angle_alpha 90.00
_cell_angle_beta 90.00
_cell_angle_gamma 90.00
loop_
_space_group_symop_operation_xyz
'x,y,z'
loop_
_atom_site_label
_atom_site_type_symbol
_atom_site_fract_x
_atom_site_fract_y
_atom_site_fract_z
Mo1 Mo 0.000 0.000 0.000
B1 B 0.500 0.500 0.500
Ge1 Ge 0.000 0.500 0.000
Ge2 Ge 0.000 0.000 0.500
Ge3 Ge 0.500 0.000 0.000
# ΔE_f ... 30.1 kcal/mol of atoms

***

# GeBMo2 (meta-GGA SCAN, PBEsol geometry)
data_GeBMo2
_space_group_name_H-M_alt 'P 1'
_space_group_IT_number 1
_cell_length_a 4.164
_cell_length_b 4.164
_cell_length_c 4.164
_cell_angle_alpha 60.00
_cell_angle_beta 60.00
_cell_angle_gamma 60.00
loop_
_space_group_symop_operation_xyz
'x,y,z'
loop_
_atom_site_label
_atom_site_type_symbol
_atom_site_fract_x
_atom_site_fract_y
_atom_site_fract_z
Mo1 Mo 0.250 0.250 0.250
Mo2 Mo 0.750 0.750 0.750
B1 B 0.000 0.000 0.000
Ge1 Ge 0.500 0.500 0.500
# ΔE_f ... 9.9 kcal/mol of atoms

***

# GeBMoOs2 (meta-GGA SCAN, PBEsol geometry)
data_GeBMoOs2
_space_group_name_H-M_alt 'P 1'
_space_group_IT_number 1
_cell_length_a 4.063
_cell_length_b 4.063
_cell_length_c 4.136
_cell_angle_alpha 90.00
_cell_angle_beta 90.00
_cell_angle_gamma 90.00
loop_
_space_group_symop_operation_xyz
'x,y,z'
loop_
_atom_site_label
_atom_site_type_symbol
_atom_site_fract_x
_atom_site_fract_y
_atom_site_fract_z
Mo1 Mo 0.000 0.000 0.500
B1 B 0.000 0.000 0.000
Os1 Os 0.000 0.500 0.000
Os2 Os 0.500 0.000 0.000
Ge1 Ge 0.500 0.500 0.500
# ΔE_f ... 9.9 kcal/mol of atoms

***

# TlGeBMo2 (meta-GGA SCAN, PBEsol geometry)
data_TlGeBMo2
_space_group_name_H-M_alt 'P 1'
_space_group_IT_number 1
_cell_length_a 3.692
_cell_length_b 4.788
_cell_length_c 4.788
_cell_angle_alpha 90.00
_cell_angle_beta 90.00
_cell_angle_gamma 90.00
loop_
_space_group_symop_operation_xyz
'x,y,z'
loop_
_atom_site_label
_atom_site_type_symbol
_atom_site_fract_x
_atom_site_fract_y
_atom_site_fract_z
Tl1 Tl 0.500 0.500 0.500
B1 B 0.500 0.000 0.000
Ge1 Ge 0.000 0.000 0.000
Mo1 Mo 0.000 0.000 0.500
Mo2 Mo 0.000 0.500 0.000
# ΔE_f ... 34.3 kcal/mol of atoms

***

# GeBSeN2 (meta-GGA SCAN, PBEsol geometry)
data_GeBSeN2
_space_group_name_H-M_alt 'P 1'
_space_group_IT_number 1
_cell_length_a 3.318
_cell_length_b 3.318
_cell_length_c 5.971
_cell_angle_alpha 90.00
_cell_angle_beta 90.00
_cell_angle_gamma 90.00
loop_
_space_group_symop_operation_xyz
'x,y,z'
loop_
_atom_site_label
_atom_site_type_symbol
_atom_site_fract_x
_atom_site_fract_y
_atom_site_fract_z
Ge1 Ge 0.500 0.500 0.500
B1 B 0.000 0.000 0.000
Se1 Se 0.000 0.000 0.500
N1 N 0.000 0.500 0.000
N2 N 0.500 0.000 0.000
# Formation energy (no corrections) ... 1.29 eV/atom

***

# NbGeB2 (meta-GGA SCAN, PBEsol geometry)
data_NbGeB2
_space_group_name_H-M_alt 'P 1'
_space_group_IT_number 1
_cell_length_a 5.011
_cell_length_b 5.011
_cell_length_c 5.011
_cell_angle_alpha 109.44
_cell_angle_beta 109.44
_cell_angle_gamma 109.54
loop_
_space_group_symop_operation_xyz
'x,y,z'
loop_
_atom_site_label
_atom_site_type_symbol
_atom_site_fract_x
_atom_site_fract_y
_atom_site_fract_z
Nb1 Nb 0.000 0.000 0.000
Nb2 Nb 0.250 0.750 0.500
B1 B 0.625 0.591 0.466
B2 B 0.125 0.159 0.534
B3 B 0.841 0.375 0.966
B4 B 0.409 0.875 0.034
Ge1 Ge 0.500 0.500 0.000
Ge2 Ge 0.750 0.250 0.500
# ΔE_f ... 11.6 kcal/mol of atoms

***

Which calculated total energy belongs to each record? In order, -24.712 -20.006 -19.399 -21.513 -23.832 -26.254 -18.930 -15.536 -11.237 -11.056 -19.627 -21.426 -23.292 -16.368 -13.097 -23.998 -18.609 -23.643 -40.602 -32.241 -11.743 -16.265 eV per atom.
Which DOS at the Fermi energy belongs to each record? In order, 2.75 2.44 1.71 3.13 2.60 3.60 1.57 3.18 0.00 0.00 1.05 5.35 2.28 1.75 2.80 5.01 2.73 2.09 2.26 3.96 2.09 1.33 states/eV per cell.